Entry 1:
This record from Alexandria via LeMat-Bulk describes an optimized crystal structure of KPmF2. The functional is GGA-PBE.

Cell: 4.1152 4.1152 7.4820 Å, 74.04 74.04 60.00°
Element x y z (fractional)
F1 0.8572 0.8572 0.4283
Pm1 0.5000 0.5000 0.5000
F2 0.1428 0.1428 0.5717
K1 0.0000 0.0000 0.0000

polymorph energy (0 for the lowest one)	0.000	eV per atom
SG	No. 166
formation energy without anion corrections	-2545	meV/atom
total DFT energy (no corrections)	-19.8	eV per formula unit

=====

Entry 2:
This record from Alexandria via LeMat-Bulk describes an optimized crystal structure of KPm3F9. The functional is GGA-PBE.

Cell: 4.5482 8.9178 8.9178 Å, 120.00 90.00 90.00°
Element x y z (fractional)
Pm1 0.5000 0.5000 0.5000
K1 0.0000 0.0000 0.0000
F1 0.5000 0.7827 0.5655
F2 0.5000 0.2173 0.4345
F3 0.5000 0.7827 0.2173
Pm2 0.5000 0.0000 0.5000
F4 0.0000 0.5000 0.0000
F5 0.5000 0.4345 0.2173
Pm3 0.5000 0.5000 0.0000
F6 0.0000 0.0000 0.5000
F7 0.5000 0.5655 0.7827
F8 0.5000 0.2173 0.7827
F9 0.0000 0.5000 0.5000

SG	No. 191
formation energy without anion corrections	-3698	meV/atom
total DFT energy (no corrections)	-80.3	eV per formula unit

=====

Entry 3:
This record from Alexandria via LeMat-Bulk describes an optimized crystal structure of K3PmF6. The functional is GGA-PBE.

Cell: 6.4783 6.7130 9.2431 Å, 90.00 88.56 90.00°
Each line ends with the local moment (μB).
Element x y z (fractional)
Pm1 0.5000 0.5000 0.5000  0.00
K1 0.5211 0.9472 0.7587  0.00
F1 0.8716 0.9306 0.2260  0.06
K2 0.0000 0.0000 0.5000  0.00
K3 0.5000 0.5000 0.0000  0.00
F2 0.7190 0.1830 0.9456  0.05
K4 0.0211 0.5528 0.2587  0.00
F3 0.1284 0.0694 0.7740  0.06
F4 0.2810 0.8170 0.0544  0.05
K5 0.4789 0.0528 0.2413  0.00
Pm2 0.0000 0.0000 0.0000  0.00
F5 0.3716 0.5694 0.7260  0.06
F6 0.1757 0.2705 0.0819  0.06
F7 0.3243 0.7705 0.4181  0.06
F8 0.6757 0.2295 0.5819  0.06
K6 0.9789 0.4472 0.7413  0.00
F9 0.8243 0.7295 0.9181  0.06
F10 0.6284 0.4306 0.2740  0.06
F11 0.7810 0.6830 0.5544  0.05
F12 0.2190 0.3170 0.4456  0.05

polymorph energy (0 for the lowest one)	0.000	eV per atom
SG	No. 14
formation energy without anion corrections	-3309	meV/atom
total DFT energy (no corrections)	-52.4	eV per formula unit

=====

Entry 4:
This record from Alexandria via LeMat-Bulk describes an optimized crystal structure of K3PmF6. The functional is GGA-PBE.

Cell: 4.0330 8.3959 10.2742 Å, 90.00 90.00 90.00°
Element x y z (fractional)
F1 0.0000 0.6126 0.5860
F2 0.0000 0.0290 0.2306
K1 0.0000 0.2786 0.7474
Pm1 0.0000 0.0000 0.0000
F3 0.0000 0.7209 0.9607
K2 0.5000 0.2214 0.2473
Pm2 0.5000 0.5000 0.5000
K3 0.5000 0.5000 0.0000
F4 0.0000 0.9710 0.7694
F5 0.0000 0.2791 0.0393
F6 0.5000 0.7790 0.4607
F7 0.0000 0.3874 0.4140
F8 0.5000 0.1127 0.9140
K4 0.0000 0.0000 0.5000
K5 0.5000 0.7786 0.7527
F9 0.5000 0.5290 0.2694
F10 0.5000 0.8873 0.0860
F11 0.5000 0.4710 0.7306
F12 0.5000 0.2210 0.5393
K6 0.0000 0.7214 0.2526

polymorph energy (0 for the lowest one)	0.051	eV per atom
SG	No. 58
formation energy without anion corrections	-3258	meV/atom
total DFT energy (no corrections)	-51.9	eV per formula unit

=====

Entry 5:
This record from Alexandria via LeMat-Bulk describes an optimized crystal structure of K2PmF5. The functional is GGA-PBE.

Cell: 6.8603 6.8573 6.5995 Å, 113.60 113.68 83.29°
Each line ends with the local moment (μB).
Element x y z (fractional)
F1 0.8397 0.2666 0.1545  0.03
F2 0.2666 0.8398 0.1549  0.03
K1 0.6167 0.0665 0.2761  0.00
Pm1 0.0060 0.0061 0.9725  0.00
F3 0.7959 0.7961 0.9920  0.06
F4 0.9237 0.9236 0.5876  0.01
F5 0.2616 0.2616 0.1397  0.08
K2 0.0666 0.6167 0.2766  0.00

polymorph energy (0 for the lowest one)	0.158	eV per atom
SG	No. 8
formation energy without anion corrections	-3317	meV/atom
total DFT energy (no corrections)	-42.8	eV per formula unit

=====

Entry 6:
This record from Alexandria via LeMat-Bulk describes an optimized crystal structure of K5Pm3F12. The functional is GGA-PBE.

Cell: 13.4397 13.4397 13.4397 Å, 109.47 109.47 109.47°
Each line ends with the local moment (μB).
Element x y z (fractional)
F1 0.8710 0.8496 0.5506  0.00
F2 0.9785 0.1290 0.6796  0.00
Pm1 0.6250 0.2500 0.3750  0.10
F3 0.5215 0.7010 0.6504  0.00
F4 0.1504 0.0215 0.7010  0.00
Pm2 0.6250 0.3750 0.7500  0.10
F5 0.3710 0.0506 0.3496  0.00
K1 0.8750 0.6250 0.7500  0.01
K2 0.7500 0.6250 0.3750  0.01
F6 0.6504 0.4494 0.6290  0.00
F7 0.1290 0.1504 0.4494  0.00
F8 0.8204 0.5215 0.8710  0.00
F9 0.6290 0.9494 0.6504  0.00
F10 0.2010 0.5506 0.6796  0.00
K3 0.1250 0.3750 0.2500  0.01
F11 0.6504 0.2010 0.5215  0.00
K4 0.6250 0.7500 0.8750  0.01
F12 0.4494 0.6504 0.1290  0.00
F13 0.3204 0.9494 0.7990  0.00
K5 0.5000 0.0000 0.0000  0.00
F14 0.1504 0.1290 0.9494  0.00
K6 0.2500 0.3750 0.6250  0.01
F15 0.6290 0.6796 0.4785  0.00
Pm3 0.7500 0.3750 0.1250  0.10
K7 0.3750 0.1250 0.7500  0.01
Pm4 0.8750 0.1250 0.2500  0.10
K8 0.0000 0.0000 0.0000  0.00
F16 0.7010 0.5215 0.1504  0.00
F17 0.2990 0.8204 0.9494  0.00
F18 0.4494 0.7990 0.8204  0.00
F19 0.5506 0.3496 0.8710  0.00
K9 0.5000 0.5000 0.0000  0.00
F20 0.5506 0.2010 0.1796  0.00
F21 0.9494 0.6290 0.1504  0.00
F22 0.3496 0.7990 0.4785  0.00
Pm5 0.7500 0.8750 0.6250  0.10
F23 0.2990 0.4785 0.8496  0.00
F24 0.7990 0.3496 0.9785  0.00
F25 0.8204 0.2990 0.4494  0.00
K10 0.0000 0.0000 0.5000  0.00
F26 0.0215 0.8710 0.3204  0.00
F27 0.3496 0.5506 0.3710  0.00
F28 0.5215 0.8204 0.3710  0.00
F29 0.1796 0.4785 0.1290  0.00
F30 0.3710 0.3204 0.5215  0.00
K11 0.0000 0.5000 0.0000  0.00
K12 0.0000 0.5000 0.5000  0.00
F31 0.8710 0.0215 0.8204  0.00
F32 0.8496 0.8710 0.0506  0.00
F33 0.1796 0.7010 0.5506  0.00
K13 0.8750 0.2500 0.6250  0.01
F34 0.4785 0.1796 0.6290  0.00
F35 0.7010 0.1796 0.0506  0.00
F36 0.0506 0.6796 0.7010  0.00
F37 0.0215 0.1504 0.2010  0.00
F38 0.6796 0.6290 0.9785  0.00
K14 0.3750 0.2500 0.1250  0.01
F39 0.4785 0.2990 0.3496  0.00
F40 0.1290 0.9785 0.1796  0.00
Pm6 0.2500 0.1250 0.3750  0.10
Pm7 0.1250 0.2500 0.8750  0.10
F41 0.9785 0.8496 0.7990  0.00
F42 0.3204 0.3710 0.0215  0.00
F43 0.0506 0.3710 0.8496  0.00
F44 0.9494 0.3204 0.2990  0.00
K15 0.5000 0.0000 0.5000  0.00
K16 0.7500 0.1250 0.8750  0.01
K17 0.2500 0.8750 0.1250  0.01
F45 0.6796 0.0506 0.2010  0.00
F46 0.8496 0.9785 0.2990  0.00
Pm8 0.3750 0.6250 0.2500  0.10
K18 0.1250 0.7500 0.3750  0.01
K19 0.6250 0.8750 0.2500  0.01
F47 0.7990 0.4494 0.3204  0.00
Pm9 0.2500 0.6250 0.8750  0.10
Pm10 0.1250 0.8750 0.7500  0.10
Pm11 0.3750 0.7500 0.6250  0.10
F48 0.2010 0.6504 0.0215  0.00
K20 0.5000 0.5000 0.5000  0.00
Pm12 0.8750 0.7500 0.1250  0.10

SG	No. 230
formation energy without anion corrections	-3080	meV/atom
total DFT energy (no corrections)	-103.8	eV per formula unit

=====

Entry 7:
This record from Alexandria via LeMat-Bulk describes an optimized crystal structure of K3PmF7. The functional is GGA-PBE.

Cell: 6.4253 6.4253 6.8496 Å, 62.40 62.40 88.63°
Each line ends with the local moment (μB).
Element x y z (fractional)
F1 0.1332 0.1332 0.1524  0.05
F2 0.8312 0.8312 0.8379  0.04
F3 0.6451 0.6451 0.4313  0.04
F4 0.9503 0.3286 0.7418  0.23
F5 0.3286 0.9503 0.7418  0.23
K1 0.5061 0.5061 0.9270  0.00
F6 0.6426 0.1381 0.1979  0.24
Pm1 0.9468 0.9468 0.0459  -0.01
K2 0.7764 0.2267 0.4880  0.00
K3 0.2267 0.7764 0.4880  0.00
F7 0.1381 0.6426 0.1979  0.24

SG	No. 8
formation energy without anion corrections	-3010	meV/atom
total DFT energy (no corrections)	-54.3	eV per formula unit

=====

Entry 8:
This record from Alexandria via LeMat-Bulk describes an optimized crystal structure of KPm3F10. The functional is GGA-PBE.

Cell: 8.5088 8.5088 8.5088 Å, 60.00 60.00 60.00°
Element x y z (fractional)
F1 0.0000 0.0000 0.3301
F2 0.3301 0.0000 0.6699
Pm1 0.7401 0.2599 0.7401
F3 0.6120 0.1641 0.6120
Pm2 0.7401 0.7401 0.2599
Pm3 0.2599 0.7401 0.7401
F4 0.0000 0.6699 0.0000
F5 0.3880 0.3880 0.8359
K1 0.2500 0.2500 0.2500
F6 0.0000 0.6699 0.3301
Pm4 0.7401 0.2599 0.2599
F7 0.3301 0.0000 0.0000
K2 0.7500 0.7500 0.7500
F8 0.3301 0.6699 0.0000
F9 0.0000 0.0000 0.6699
F10 0.6120 0.6120 0.1641
F11 0.0000 0.3301 0.0000
F12 0.6120 0.6120 0.6120
Pm5 0.2599 0.2599 0.7401
F13 0.3880 0.3880 0.3880
F14 0.6699 0.0000 0.3301
F15 0.3880 0.8359 0.3880
F16 0.6699 0.3301 0.0000
F17 0.8359 0.3880 0.3880
F18 0.0000 0.3301 0.6699
F19 0.6699 0.0000 0.0000
F20 0.1641 0.6120 0.6120
Pm6 0.2599 0.7401 0.2599

SG	No. 225
formation energy without anion corrections	-3954	meV/atom
total DFT energy (no corrections)	-89.4	eV per formula unit

=====

Entry 9:
This record from Alexandria via LeMat-Bulk describes an optimized crystal structure of KSrPmF6. The functional is GGA-PBE.

Cell: 6.4028 6.4028 9.9621 Å, 90.00 90.00 120.00°
Element x y z (fractional)
F1 0.6976 0.0482 0.3713
F2 0.6494 0.9518 0.8713
F3 0.3506 0.0482 0.1287
Pm1 0.6667 0.3333 0.2500
F4 0.6494 0.6976 0.6287
F5 0.6976 0.6494 0.1287
F6 0.9518 0.3024 0.1287
Pm2 0.3333 0.6667 0.7500
F7 0.3024 0.9518 0.6287
Sr1 0.0000 0.0000 0.0000
F8 0.9518 0.6494 0.3713
F9 0.3024 0.3506 0.8713
F10 0.0482 0.3506 0.6287
F11 0.0482 0.6976 0.8713
K1 0.6667 0.3333 0.7500
F12 0.3506 0.3024 0.3713
Sr2 0.0000 0.0000 0.5000
K2 0.3333 0.6667 0.2500

SG	No. 163
formation energy without anion corrections	-3700	meV/atom
total DFT energy (no corrections)	-52.1	eV per formula unit

=====

Entry 10:
This record from Alexandria via LeMat-Bulk describes an optimized crystal structure of K2PmTlF8. The functional is GGA-PBE.

Cell: 3.9369 6.2852 7.8945 Å, 90.00 90.00 90.12°
Element x y z (fractional)
F1 0.9988 0.2062 0.7546
Pm1 0.0000 0.0000 0.5000
F2 0.5020 0.7953 0.0000
K1 0.5000 0.5000 0.7556
F3 0.5002 0.2107 0.5000
F4 0.4980 0.2047 0.0000
F5 0.0012 0.7938 0.7546
F6 0.9988 0.2062 0.2454
K2 0.5000 0.5000 0.2444
F7 0.0012 0.7938 0.2454
Tl1 0.0000 0.0000 0.0000
F8 0.4998 0.7893 0.5000

SG	No. 10
formation energy without anion corrections	-2937	meV/atom
total DFT energy (no corrections)	-59.5	eV per formula unit